1.
First-principles (GGA-PBEsol) data for crystalline ScBeI2O at its relaxed geometry, as listed in Alexandria via LeMat-Bulk.

abc: 3.2556 5.4882 5.4882
angles: 90.00 90.00 90.00
Closest atoms and distances in Å follow each position.
Atoms (fractional coordinates):
1 Be 0.0000 0.0000 0.0000  2 O 1.63
2 I 0.0000 0.0000 0.5000  2 Be 2.74
3 I 0.0000 0.5000 0.0000  2 Be 2.74
4 O 0.5000 0.0000 0.0000  2 Be 1.63
5 Sc 0.5000 0.5000 0.5000  8 I 3.19, 2 Sc 3.26

Calculated values
Theoretical density   5.48 g/cm³
Total magnetic moment   0.00 μB per cell
Raw total energy   -4.716 eV per atom
E_form (uncorrected)   -839 meV per atom
Crystal system   tetragonal

2.
First-principles (GGA-PBEsol) data for crystalline BeSeI2O at its relaxed geometry, as listed in Alexandria via LeMat-Bulk.

abc: 3.7727 5.6659 5.6659
angles: 90.00 90.00 90.00
Closest atoms and distances in Å follow each position.
Atoms (fractional coordinates):
1 I 0.0000 0.0000 0.5000  2 Se 2.83
2 I 0.0000 0.5000 0.0000  2 Se 2.83
3 Se 0.0000 0.0000 0.0000  2 O 1.89
4 Be 0.5000 0.5000 0.5000  8 I 3.40, 2 Be 3.77
5 O 0.5000 0.0000 0.0000  2 Se 1.89

Calculated values
Theoretical density   4.91 g/cm³
Total magnetic moment   0.01 μB per cell
Raw total energy   -2.849 eV per atom
E_form (uncorrected)   477 meV per atom
Crystal system   tetragonal

3.
First-principles (GGA-PBEsol) data for crystalline SrBeI2O at its relaxed geometry, as listed in Alexandria via LeMat-Bulk.

abc: 4.2588 6.2484 6.2484
angles: 90.00 90.00 90.00
Closest atoms and distances in Å follow each position.
Atoms (fractional coordinates):
1 Be 0.5000 0.5000 0.5000  8 I 3.78
2 Sr 0.0000 0.0000 0.0000  2 O 2.13
3 O 0.5000 0.0000 0.0000  2 Sr 2.13
4 I 0.0000 0.0000 0.5000  2 Sr 3.12
5 I 0.0000 0.5000 0.0000  2 Sr 3.12

Calculated values
Theoretical density   3.66 g/cm³
Total magnetic moment   0.23 μB per cell
Raw total energy   -2.960 eV per atom
E_form (uncorrected)   -36 meV per atom
Crystal system   tetragonal

4.
First-principles (GGA-PBEsol) data for crystalline ZrBeI2O at its relaxed geometry, as listed in Alexandria via LeMat-Bulk.

abc: 3.9544 5.7611 5.7611
angles: 90.00 90.00 90.00
Closest atoms and distances in Å follow each position.
Atoms (fractional coordinates):
1 O 0.5000 0.0000 0.0000  2 Zr 1.98
2 Be 0.5000 0.5000 0.5000  8 I 3.49
3 Zr 0.0000 0.0000 0.0000  2 O 1.98
4 I 0.0000 0.5000 0.0000  2 Zr 2.88
5 I 0.0000 0.0000 0.5000  2 Zr 2.88

Calculated values
Theoretical density   4.68 g/cm³
Total magnetic moment   0.00 μB per cell
Raw total energy   -4.978 eV per atom
E_form (uncorrected)   -604 meV per atom
Crystal system   tetragonal

5.
First-principles (GGA-PBEsol) data for crystalline BeP3I at its relaxed geometry, as listed in Alexandria via LeMat-Bulk.

abc: 5.0111 5.0111 5.0111
angles: 90.00 90.00 90.00
Closest atoms and distances in Å follow each position.
Atoms (fractional coordinates):
1 P 0.0000 0.5000 0.0000  2 I 2.51
2 P 0.0000 0.0000 0.5000  2 I 2.51
3 P 0.5000 0.0000 0.0000  2 I 2.51
4 Be 0.5000 0.5000 0.5000  12 P 3.54
5 I 0.0000 0.0000 0.0000  6 P 2.51

Calculated values
Theoretical density   3.02 g/cm³
Total magnetic moment   0.00 μB per cell
Raw total energy   -2.617 eV per atom
E_form (uncorrected)   2011 meV per atom
Crystal system   cubic

6.
First-principles (GGA-PBEsol) data for crystalline TiBePI2 at its relaxed geometry, as listed in Alexandria via LeMat-Bulk.

abc: 4.7668 4.8544 4.8544
angles: 90.00 90.00 90.00
Closest atoms and distances in Å follow each position.
Atoms (fractional coordinates):
1 P 0.5000 0.5000 0.5000  8 I 3.40, 4 Ti 3.43
2 Ti 0.5000 0.0000 0.0000  2 Be 2.38
3 Be 0.0000 0.0000 0.0000  2 Ti 2.38, 4 I 2.43
4 I 0.0000 0.5000 0.0000  2 Be 2.43
5 I 0.0000 0.0000 0.5000  2 Be 2.43

Calculated values
Theoretical density   5.05 g/cm³
Total magnetic moment   1.42 μB per cell
Raw total energy   -3.372 eV per atom
E_form (uncorrected)   958 meV per atom
Crystal system   tetragonal

7.
First-principles (GGA-PBEsol) data for crystalline BeTlPI2 at its relaxed geometry, as listed in Alexandria via LeMat-Bulk.

abc: 5.5167 5.5167 5.4194
angles: 90.00 90.00 90.00
Closest atoms and distances in Å follow each position.
Atoms (fractional coordinates):
1 Be 0.5000 0.5000 0.5000  8 I 3.87, 4 Tl 3.90
2 I 0.0000 0.5000 0.0000  2 P 2.76
3 I 0.5000 0.0000 0.0000  2 P 2.76
4 Tl 0.0000 0.0000 0.5000  2 P 2.71
5 P 0.0000 0.0000 0.0000  2 Tl 2.71, 4 I 2.76

Calculated values
Theoretical density   5.02 g/cm³
Total magnetic moment   0.00 μB per cell
Raw total energy   -2.460 eV per atom
E_form (uncorrected)   731 meV per atom
Crystal system   tetragonal

8.
First-principles (GGA-PBEsol) data for crystalline BePbI2 at its relaxed geometry, as listed in Alexandria via LeMat-Bulk.

abc: 5.4703 5.4703 5.4703
angles: 60.00 60.00 60.00
Closest atoms and distances in Å follow each position.
Atoms (fractional coordinates):
1 Be 0.0000 0.0000 0.0000  8 I 3.35
2 I 0.2500 0.2500 0.2500  4 Pb 3.35, 4 Be 3.35
3 I 0.7500 0.7500 0.7500  4 Be 3.35, 4 Pb 3.35
4 Pb 0.5000 0.5000 0.5000  8 I 3.35

Calculated values
Theoretical density   6.74 g/cm³
Total magnetic moment   0.00 μB per cell
Raw total energy   -2.468 eV per atom
E_form (uncorrected)   415 meV per atom
Crystal system   cubic

Which of these has the highest E_form (uncorrected)? BeP3I